DFT (PBE) results for an optimized crystal structure of La12Ho7Sc.

Cell lengths 9.474, 9.474, 9.474 Å; angles 107.95, 107.95, 107.95 degrees
Atoms (fractional coordinates):
La (0.789, 0.315, 0.609)
La (0.685, 0.391, 0.211)
La (0.411, 0.072, 0.302)
La (0.928, 0.698, 0.589)
La (0.391, 0.211, 0.685)
La (0.698, 0.589, 0.928)
La (0.302, 0.411, 0.072)
La (0.609, 0.789, 0.315)
La (0.072, 0.302, 0.411)
La (0.589, 0.928, 0.698)
La (0.315, 0.609, 0.789)
La (0.211, 0.685, 0.391)
Ho (0.103, 0.690, 0.002)
Ho (0.310, 0.998, 0.897)
Ho (0.998, 0.897, 0.310)
Ho (0.500, 0.500, 0.500)
Ho (0.002, 0.103, 0.690)
Ho (0.690, 0.002, 0.103)
Ho (0.897, 0.310, 0.998)
Sc (0.000, 0.000, 0.000)

Computed properties:
ΔH_f (0 K) = 0.14 eV/atom

***

DFT (PBE) results for an optimized crystal structure of PmErTlNi.

Cell lengths 5.162, 5.162, 5.162 Å; angles 60.00, 60.00, 60.00 degrees
Atoms (fractional coordinates):
Ni (0.250, 0.250, 0.250)
Tl (0.750, 0.750, 0.750)
Pm (0.000, 0.000, 0.000)
Er (0.500, 0.500, 0.500)

Computed properties:
ΔH_f (0 K) = -0.22 eV/atom

***

DFT (PBE) results for an optimized crystal structure of NdSc.

Cell lengths 3.518, 5.604, 6.001 Å; angles 90.00, 90.15, 90.00 degrees
Atoms (fractional coordinates):
Sc (0.753, 0.750, 0.581)
Sc (0.247, 0.250, 0.419)
Nd (0.253, 0.750, 0.086)
Nd (0.747, 0.250, 0.914)

Computed properties:
ΔH_f (0 K) = 0.08 eV/atom

***

DFT (PBE) results for an optimized crystal structure of LaCeDyGa.

Cell lengths 5.427, 5.427, 5.427 Å; angles 60.00, 60.00, 60.00 degrees
Last column: magnetic moment on the atom in μB.
Atoms (fractional coordinates):
La (0.500, 0.500, 0.500)  0.07
Ga (0.250, 0.250, 0.250)  -0.01
Ce (0.000, 0.000, 0.000)  0.75
Dy (0.750, 0.750, 0.750)  0.25

Computed properties:
ΔH_f (0 K) = -0.06 eV/atom

***

DFT (PBE) results for an optimized crystal structure of PbBr2.

Cell lengths 4.579, 6.935, 7.273 Å; angles 90.00, 90.00, 90.00 degrees
Atoms (fractional coordinates):
Br (0.000, 0.258, 0.658)
Br (0.000, 0.742, 0.342)
Br (0.500, 0.758, 0.842)
Br (0.500, 0.242, 0.158)
Pb (0.000, 0.000, 0.000)
Pb (0.500, 0.500, 0.500)

Computed properties:
Formation energy without anion corrections = -0.90 eV per atom

***

DFT (PBE) results for an optimized crystal structure of MgTl2Sb.

Cell lengths 7.155, 7.155, 7.155 Å; angles 146.23, 144.31, 49.95 degrees
Atoms (fractional coordinates):
Mg (0.750, 0.250, 0.500)
Sb (0.250, 0.750, 0.500)
Tl (0.053, 0.053, 0.000)
Tl (0.447, 0.447, 0.000)

Computed properties:
Formation energy without anion corrections = -0.06 eV per atom

***

DFT (PBE) results for an optimized crystal structure of Ac5NdNi4.

Cell lengths 4.169, 8.147, 9.411 Å; angles 90.06, 102.80, 90.00 degrees
Atoms (fractional coordinates):
Ac (0.840, 0.242, 0.679)
Ac (0.839, 0.759, 0.679)
Ac (0.161, 0.241, 0.321)
Ac (0.500, 0.500, 0.000)
Ac (0.160, 0.758, 0.321)
Nd (0.500, 0.000, 0.000)
Ni (0.292, 0.000, 0.583)
Ni (0.000, 0.245, 0.000)
Ni (0.708, 0.000, 0.417)
Ni (0.000, 0.755, 0.000)

Computed properties:
ΔH_f (0 K) = -0.17 eV/atom

***

DFT (PBE) results for an optimized crystal structure of NaSnAu2.

Cell lengths 4.656, 4.656, 9.739 Å; angles 76.17, 76.17, 90.00 degrees
Atoms (fractional coordinates):
Na (0.500, 0.500, 0.000)
Na (0.250, 0.750, 0.500)
Au (0.658, 0.125, 0.250)
Au (0.092, 0.625, 0.250)
Au (0.375, 0.342, 0.750)
Au (0.875, 0.908, 0.750)
Sn (0.000, 0.000, 0.000)
Sn (0.750, 0.250, 0.500)

Computed properties:
ΔH_f (0 K) = -0.01 eV/atom

***

DFT (PBE) results for an optimized crystal structure of MnSe2Cl.

Cell lengths 4.800, 4.800, 4.800 Å; angles 60.00, 60.00, 60.00 degrees
Last column: magnetic moment on the atom in μB.
Atoms (fractional coordinates):
Cl (0.500, 0.500, 0.500)  -0.02
Mn (0.750, 0.750, 0.750)  4.15
Se (0.000, 0.000, 0.000)  -0.16
Se (0.250, 0.250, 0.250)  -0.33

Computed properties:
Formation energy without anion corrections = 0.29 eV per atom

***

DFT (PBE) results for an optimized crystal structure of VAg2Rh.

Cell lengths 4.511, 4.511, 4.511 Å; angles 60.00, 60.00, 60.00 degrees
Last column: magnetic moment on the atom in μB.
Atoms (fractional coordinates):
Rh (0.500, 0.500, 0.500)  -0.15
Ag (0.250, 0.250, 0.250)  0.03
Ag (0.750, 0.750, 0.750)  0.03
V (0.000, 0.000, 0.000)  2.12

Computed properties:
ΔH_f (0 K) = 0.40 eV/atom

***

DFT (PBE) results for an optimized crystal structure of HfTaPCl2.

Cell lengths 4.663, 4.663, 5.107 Å; angles 90.00, 90.00, 90.00 degrees
Last column: magnetic moment on the atom in μB.
Atoms (fractional coordinates):
P (0.000, 0.000, 0.500)  -0.02
Cl (0.000, 0.500, 0.000)  0.02
Cl (0.500, 0.000, 0.000)  0.02
Hf (0.500, 0.500, 0.500)  0.91
Ta (0.000, 0.000, 0.000)  0.17

Computed properties:
Formation energy without anion corrections = 0.31 eV per atom

***

DFT (PBE) results for an optimized crystal structure of BaMn2.

Cell lengths 7.252, 7.252, 6.919 Å; angles 61.51, 61.51, 32.63 degrees
Last column: magnetic moment on the atom in μB.
Atoms (fractional coordinates):
Ba (0.830, 0.830, 0.170)  -0.01
Ba (0.170, 0.170, 0.830)  -0.01
Mn (0.102, 0.102, 0.399)  3.47
Mn (0.500, 0.500, 0.685)  3.63
Mn (0.500, 0.500, 0.315)  3.63
Mn (0.898, 0.898, 0.601)  3.47

Computed properties:
ΔH_f (0 K) = 0.64 eV/atom

***

DFT (PBE) results for an optimized crystal structure of NaMnAsBr2.

Cell lengths 5.230, 5.230, 5.541 Å; angles 90.00, 90.00, 90.00 degrees
Last column: magnetic moment on the atom in μB.
Atoms (fractional coordinates):
Na (0.000, 0.000, 0.000)  0.02
As (0.000, 0.000, 0.500)  0.68
Mn (0.500, 0.500, 0.500)  4.53
Br (0.000, 0.500, 0.000)  0.16
Br (0.500, 0.000, 0.000)  0.16

Computed properties:
Formation energy without anion corrections = 0.44 eV per atom

***

DFT (PBE) results for an optimized crystal structure of YHPt3.

Cell lengths 5.363, 5.363, 5.363 Å; angles 88.88, 88.88, 88.88 degrees
Atoms (fractional coordinates):
Y (0.794, 0.794, 0.794)
Y (0.294, 0.294, 0.294)
H (0.044, 0.044, 0.044)
H (0.544, 0.544, 0.544)
Pt (0.045, 0.793, 0.295)
Pt (0.295, 0.045, 0.793)
Pt (0.793, 0.295, 0.045)
Pt (0.545, 0.795, 0.293)
Pt (0.795, 0.293, 0.545)
Pt (0.293, 0.545, 0.795)

***

DFT (PBE) results for an optimized crystal structure of Os2PtSe.

Cell lengths 4.461, 4.461, 4.461 Å; angles 60.00, 60.00, 60.00 degrees
Atoms (fractional coordinates):
Os (0.000, 0.000, 0.000)
Os (0.250, 0.250, 0.250)
Pt (0.500, 0.500, 0.500)
Se (0.750, 0.750, 0.750)

Computed properties:
Formation energy without anion corrections = 0.89 eV per atom

***

DFT (PBE) results for an optimized crystal structure of BaTlAu2.

Cell lengths 6.083, 6.083, 6.083 Å; angles 134.40, 134.40, 66.47 degrees
Atoms (fractional coordinates):
Tl (0.750, 0.250, 0.500)
Au (0.000, 0.000, 0.000)
Au (0.250, 0.750, 0.500)
Ba (0.500, 0.500, 0.000)

Computed properties:
ΔH_f (0 K) = -0.35 eV/atom

***

DFT (PBE) results for an optimized crystal structure of YAs2W.

Cell lengths 5.805, 5.805, 5.805 Å; angles 140.46, 140.46, 57.16 degrees
Last column: magnetic moment on the atom in μB.
Atoms (fractional coordinates):
Y (0.750, 0.250, 0.500)  0.12
As (0.000, 0.000, 0.000)  -0.04
As (0.250, 0.750, 0.500)  0.00
W (0.500, 0.500, 0.000)  1.20

Computed properties:
ΔH_f (0 K) = 0.09 eV/atom

***

DFT (PBE) results for an optimized crystal structure of TePPt2.

Cell lengths 4.481, 4.481, 3.838 Å; angles 90.00, 90.00, 102.56 degrees
Atoms (fractional coordinates):
Te (0.500, 0.500, 0.500)
P (0.000, 0.000, 0.500)
Pt (0.791, 0.209, 0.000)
Pt (0.209, 0.791, 0.000)

Computed properties:
Formation energy without anion corrections = -0.12 eV per atom

***

DFT (PBE) results for an optimized crystal structure of TiZn2Ir.

Cell lengths 3.673, 3.673, 9.847 Å; angles 79.25, 79.25, 90.00 degrees
Atoms (fractional coordinates):
Zn (0.636, 0.125, 0.250)
Zn (0.114, 0.625, 0.250)
Zn (0.375, 0.364, 0.750)
Zn (0.875, 0.886, 0.750)
Ir (0.000, 0.000, 0.000)
Ir (0.750, 0.250, 0.500)
Ti (0.500, 0.500, 0.000)
Ti (0.250, 0.750, 0.500)

Computed properties:
ΔH_f (0 K) = -0.10 eV/atom

***

DFT (PBE) results for an optimized crystal structure of Pm2TmTl3.

Cell lengths 5.450, 8.621, 7.614 Å; angles 90.00, 90.00, 71.58 degrees
Atoms (fractional coordinates):
Pm (0.000, 0.000, 0.000)
Pm (0.000, 0.000, 0.500)
Pm (0.336, 0.328, 0.500)
Pm (0.664, 0.672, 0.500)
Tm (0.333, 0.334, 0.000)
Tm (0.667, 0.666, 0.000)
Tl (0.830, 0.340, 0.759)
Tl (0.499, 0.000, 0.241)
Tl (0.170, 0.660, 0.241)
Tl (0.830, 0.340, 0.241)
Tl (0.170, 0.660, 0.759)
Tl (0.501, 0.000, 0.759)

Computed properties:
ΔH_f (0 K) = -0.36 eV/atom

***

Number 1: total magnetization 0.0 μB/f.u., D(E_F) 35.681 states/eV/f.u., E -4.74 eV per atom. Number 2: total magnetization 0.0 μB/f.u., D(E_F) 4.529 states/eV/f.u., E -4.59 eV per atom. Number 3: total magnetization 0.0 μB/f.u., D(E_F) 3.443 states/eV/f.u., E -5.47 eV per atom. Number 4: total magnetization 1.3 μB/f.u., D(E_F) 9.799 states/eV/f.u., E -4.68 eV per atom. Number 5: total magnetization 0.0 μB/f.u., D(E_F) 0.000 states/eV/f.u., E -3.26 eV per atom. Number 6: total magnetization 0.0 μB/f.u., D(E_F) 1.324 states/eV/f.u., E -2.67 eV per atom. Number 7: total magnetization 0.0 μB/f.u., D(E_F) 6.805 states/eV/f.u., E -5.02 eV per atom. Number 8: total magnetization 0.0 μB/f.u., D(E_F) 1.510 states/eV/f.u., E -2.98 eV per atom. Number 9: total magnetization 3.6 μB/f.u., D(E_F) 1.473 states/eV/f.u., E -4.20 eV per atom. Number 10: total magnetization 2.4 μB/f.u., D(E_F) 4.049 states/eV/f.u., E -5.14 eV per atom. Number 11: total magnetization 1.7 μB/f.u., D(E_F) 5.278 states/eV/f.u., E -5.87 eV per atom. Number 12: total magnetization 7.6 μB/f.u., D(E_F) 2.691 states/eV/f.u., E -6.12 eV per atom. Number 13: total magnetization 6.9 μB/f.u., D(E_F) 4.362 states/eV/f.u., E -3.26 eV per atom. Number 14: total magnetization 0.0 μB/f.u., D(E_F) 1.003 states/eV/f.u., E -6.19 eV per atom. Number 15: total magnetization 0.0 μB/f.u., D(E_F) 5.244 states/eV/f.u., E -7.11 eV per atom. Number 16: total magnetization 0.0 μB/f.u., D(E_F) 1.627 states/eV/f.u., E -3.06 eV per atom. Number 17: total magnetization 1.6 μB/f.u., D(E_F) 4.520 states/eV/f.u., E -7.09 eV per atom. Number 18: total magnetization 0.0 μB/f.u., D(E_F) 2.411 states/eV/f.u., E -5.28 eV per atom. Number 19: total magnetization 0.0 μB/f.u., D(E_F) 1.626 states/eV/f.u., E -4.93 eV per atom. Number 20: total magnetization 0.0 μB/f.u., D(E_F) 4.707 states/eV/f.u., E -3.87 eV per atom.